## i
Here is crystalline TbAl2Ag2 at its relaxed geometry from Alexandria. Energies are from PBE.

The density of states at the Fermi level is 0.6593 states/eV/atom.

Cell: 4.334 4.334 10.826 Å, 90.00 90.00 90.00°
Space group I4/mmm (No. 139)
One atom of each set of equivalent atoms:
1 Tb 0.000 0.000 0.000 (multiplicity 2)
2 Al 0.000 0.000 0.384 (multiplicity 4)
3 Ag 0.000 0.500 0.250 (multiplicity 4)

## ii
Here is crystalline TbAl2Ag2 at its relaxed geometry from Alexandria. Energies are from PBE.

The density of states at the Fermi level is 0.4546 states/eV/atom.

Cell: 4.267 4.267 11.108 Å, 90.00 90.00 90.00°
Space group P4/nmm (No. 129, origin choice 2)
One atom of each set of equivalent atoms:
1 Tb 0.250 0.250 0.248 (multiplicity 2)
2 Al 0.250 0.250 0.637 (multiplicity 2)
3 Al 0.250 0.750 0.000 (multiplicity 2)
4 Ag 0.250 0.250 0.863 (multiplicity 2)
5 Ag 0.250 0.750 0.500 (multiplicity 2)

Stability, lowest: i

## i
Here is crystalline TbAlAg4 at its relaxed geometry from Alexandria. Energies are from PBE.

The density of states at the Fermi level is 0.3732 states/eV/atom.

Cell: 7.837 7.837 7.837 Å, 90.00 90.00 90.00°
Space group F-43m (No. 216)
One atom of each set of equivalent atoms:
1 Tb 0.000 0.000 0.000 (multiplicity 4)
2 Al 0.250 0.250 0.750 (multiplicity 4)
3 Ag 0.125 0.125 0.375 (multiplicity 16)

## ii
Here is crystalline TbAlAg4 at its relaxed geometry from Alexandria. Energies are from PBE.

The density of states at the Fermi level is 0.3934 states/eV/atom.

Cell: 4.934 13.781 7.331 Å, 90.00 90.00 90.00°
Space group Cmcm (No. 63)
One atom of each set of equivalent atoms:
1 Tb 0.000 0.119 0.250 (multiplicity 4)
2 Al 0.000 0.355 0.250 (multiplicity 4)
3 Ag 0.000 0.091 0.750 (multiplicity 4)
4 Ag 0.000 0.283 0.567 (multiplicity 8)
5 Ag 0.000 0.500 0.000 (multiplicity 4)

Stability, lowest: ii

## i
Here is crystalline TbAlAg3 at its relaxed geometry from Alexandria. Energies are from PBE.

The density of states at the Fermi level is 0.3067 states/eV/atom.

Cell: 6.369 4.580 7.217 Å, 90.00 106.78 90.00°
Space group P2_1/m (No. 11)
One atom of each set of equivalent atoms:
1 Tb 0.187 0.250 0.200 (multiplicity 2)
2 Al 0.200 0.750 0.563 (multiplicity 2)
3 Ag 0.131 0.250 0.757 (multiplicity 2)
4 Ag 0.356 0.750 0.959 (multiplicity 2)
5 Ag 0.497 0.250 0.624 (multiplicity 2)

## ii
Here is crystalline TbAlAg3 at its relaxed geometry from Alexandria. Energies are from PBE.

The density of states at the Fermi level is 0.3591 states/eV/atom.

Cell: 5.830 5.889 6.747 Å, 90.00 115.57 90.00°
Space group P2_1/m (No. 11)
One atom of each set of equivalent atoms:
1 Tb 0.248 0.250 0.494 (multiplicity 2)
2 Al 0.131 0.750 0.264 (multiplicity 2)
3 Ag 0.253 0.000 0.001 (multiplicity 4)
4 Ag 0.339 0.750 0.680 (multiplicity 2)

Stability, lowest: ii

## i
Here is crystalline AlTcAg at its relaxed geometry from Alexandria. Energies are from PBE.

The density of states at the Fermi level is 1.1563 states/eV/atom.

Cell: 4.4192 4.4192 2.7711 Å, 90.00 90.00 120.00°
Space group P3m1 (No. 156)
One atom of each set of equivalent atoms:
1 Al 0.0000 0.0000 0.0000 (multiplicity 1)
2 Tc 0.3333 0.6667 0.4981 (multiplicity 1)
3 Ag 0.6667 0.3333 0.9972 (multiplicity 1)

## ii
Here is crystalline AlTcAg at its relaxed geometry from Alexandria. Energies are from PBE.

The density of states at the Fermi level is 0.9709 states/eV/atom.

Cell: 2.782 3.244 10.395 Å, 90.00 90.00 90.00°
Space group Imm2 (No. 44)
One atom of each set of equivalent atoms:
1 Al 0.000 0.000 0.000 (multiplicity 2)
2 Tc 0.000 0.000 0.644 (multiplicity 2)
3 Ag 0.000 0.000 0.333 (multiplicity 2)

## iii
Here is crystalline AlTcAg at its relaxed geometry from Alexandria. Energies are from PBE.

The density of states at the Fermi level is 0.9856 states/eV/atom.

Cell: 3.301 4.389 13.012 Å, 90.00 90.00 90.00°
Space group Fmm2 (No. 42)
One atom of each set of equivalent atoms:
1 Al 0.000 0.000 0.000 (multiplicity 4)
2 Tc 0.000 0.000 0.649 (multiplicity 4)
3 Ag 0.000 0.000 0.332 (multiplicity 4)

Stability, lowest: i

## i
Here is crystalline AlTcAg at its relaxed geometry from Alexandria. Energies are from PBE.

The density of states at the Fermi level is 0.8228 states/eV/atom.

Cell: 2.8332 2.8332 6.7702 Å, 90.00 90.00 120.00°
Space group P3m1 (No. 156)
One atom of each set of equivalent atoms:
1 Al 0.0000 0.0000 0.0000 (multiplicity 1)
2 Tc 0.6667 0.3333 0.3030 (multiplicity 1)
3 Ag 0.3333 0.6667 0.6633 (multiplicity 1)

## ii
Here is crystalline AlTcAg at its relaxed geometry from Alexandria. Energies are from PBE.

The density of states at the Fermi level is 1.1504 states/eV/atom.

Cell: 5.947 5.947 5.947 Å, 90.00 90.00 90.00°
Space group F-43m (No. 216)
One atom of each set of equivalent atoms:
1 Al 0.000 0.000 0.000 (multiplicity 4)
2 Tc 0.250 0.250 0.750 (multiplicity 4)
3 Ag 0.250 0.250 0.250 (multiplicity 4)

Stability, lowest: ii

## i
Here is crystalline AlTcAg3 at its relaxed geometry from Alexandria. Energies are from PBE.

The density of states at the Fermi level is 1.0228 states/eV/atom.

Cell: 4.737 4.737 4.737 Å, 90.00 90.00 90.00°
Space group Pm-3m (No. 221)
One atom of each set of equivalent atoms:
1 Al 0.000 0.000 0.000 (multiplicity 1)
2 Tc 0.500 0.500 0.500 (multiplicity 1)
3 Ag 0.000 0.000 0.500 (multiplicity 3)

## ii
Here is crystalline AlTcAg3 at its relaxed geometry from Alexandria. Energies are from PBE.

The density of states at the Fermi level is 0.6413 states/eV/atom.

Cell: 5.151 5.151 5.151 Å, 90.00 90.00 90.00°
Space group Pm-3m (No. 221)
One atom of each set of equivalent atoms:
1 Al 0.000 0.000 0.000 (multiplicity 1)
2 Tc 0.500 0.500 0.500 (multiplicity 1)
3 Ag 0.000 0.500 0.500 (multiplicity 3)

Stability, lowest: ii

## i
Here is crystalline AlAg3Te at its relaxed geometry from Alexandria. Energies are from PBE.

The density of states at the Fermi level is 0.4542 states/eV/atom.

Cell: 5.352 5.352 5.352 Å, 90.00 90.00 90.00°
Space group Pm-3m (No. 221)
One atom of each set of equivalent atoms:
1 Al 0.000 0.000 0.000 (multiplicity 1)
2 Ag 0.000 0.500 0.500 (multiplicity 3)
3 Te 0.500 0.500 0.500 (multiplicity 1)

## ii
Here is crystalline AlAg3Te at its relaxed geometry from Alexandria. Energies are from PBE.

The density of states at the Fermi level is 0.4733 states/eV/atom.

Cell: 4.951 4.951 4.951 Å, 90.00 90.00 90.00°
Space group Pm-3m (No. 221)
One atom of each set of equivalent atoms:
1 Al 0.000 0.000 0.000 (multiplicity 1)
2 Ag 0.000 0.000 0.500 (multiplicity 3)
3 Te 0.500 0.500 0.500 (multiplicity 1)

Stability, lowest: i

## i
Here is crystalline AlAgTe3 at its relaxed geometry from Alexandria. Energies are from PBE.

The density of states at the Fermi level is 1.0349 states/eV/atom.

Cell: 5.467 5.467 5.467 Å, 90.00 90.00 90.00°
Space group Pm-3m (No. 221)
One atom of each set of equivalent atoms:
1 Al 0.000 0.000 0.000 (multiplicity 1)
2 Ag 0.500 0.500 0.500 (multiplicity 1)
3 Te 0.000 0.500 0.500 (multiplicity 3)

## ii
Here is crystalline AlAgTe3 at its relaxed geometry from Alexandria. Energies are from PBE.

The density of states at the Fermi level is 0.9316 states/eV/atom.

Cell: 5.345 5.345 5.345 Å, 90.00 90.00 90.00°
Space group Pm-3m (No. 221)
One atom of each set of equivalent atoms:
1 Al 0.000 0.000 0.000 (multiplicity 1)
2 Ag 0.500 0.500 0.500 (multiplicity 1)
3 Te 0.000 0.000 0.500 (multiplicity 3)

Stability, lowest: i